[1]
## ZnPbAu2 (PBE-GGA)

Data for crystalline ZnPbAu2 at its relaxed geometry.

```
data_ZnPbAu2
_space_group_name_H-M_alt 'P m m n'
_space_group_IT_number 59
_cell_length_a 4.464
_cell_length_b 5.895
_cell_length_c 6.596
_cell_angle_alpha 90.00
_cell_angle_beta 90.00
_cell_angle_gamma 90.00
loop_
_space_group_symop_operation_xyz
'x,y,z'
'-x,-y,-z'
'-x+1/2,-y+1/2,z'
'x+1/2,y+1/2,-z'
'x+1/2,-y,-z'
'-x+1/2,y,z'
'-x,y+1/2,-z'
'x,-y+1/2,z'
loop_
_atom_site_label
_atom_site_type_symbol
_atom_site_fract_x
_atom_site_fract_y
_atom_site_fract_z
_atom_site_occupancy
Zn1 Zn 0.250 0.250 0.162 1
Pb1 Pb 0.250 0.750 0.394 1
Au1 Au 0.250 0.504 0.826 1
```


[2]
## ZnPb2Au2 (PBE-GGA)

Data for crystalline ZnPb2Au2 at its relaxed geometry.

```
data_ZnPb2Au2
_space_group_name_H-M_alt 'I 4/m m m'
_space_group_IT_number 139
_space_group_name_Hall '-I 4 2'
_cell_length_a 5.819
_cell_length_b 5.819
_cell_length_c 7.701
_cell_angle_alpha 90.00
_cell_angle_beta 90.00
_cell_angle_gamma 90.00
loop_
_atom_site_label
_atom_site_type_symbol
_atom_site_fract_x
_atom_site_fract_y
_atom_site_fract_z
_atom_site_occupancy
Zn1 Zn 0.000 0.000 0.000 1
Pb1 Pb 0.000 0.500 0.250 1
Au1 Au 0.000 0.000 0.327 1
```


[3]
## ZnPb2Au (PBE-GGA)

Data for crystalline ZnPb2Au at its relaxed geometry.

```
data_ZnPb2Au
_space_group_name_H-M_alt 'R 3 m'
_space_group_IT_number 160
_space_group_name_Hall 'R 3 -2"'
_cell_length_a 3.8337
_cell_length_b 3.8337
_cell_length_c 24.3185
_cell_angle_alpha 90.00
_cell_angle_beta 90.00
_cell_angle_gamma 120.00
loop_
_atom_site_label
_atom_site_type_symbol
_atom_site_fract_x
_atom_site_fract_y
_atom_site_fract_z
_atom_site_occupancy
Zn1 Zn 0.0000 0.0000 0.0000 1
Pb1 Pb 0.0000 0.0000 0.2506 1
Pb2 Pb 0.0000 0.0000 0.4726 1
Au1 Au 0.0000 0.0000 0.7230 1
```


[4]
## ZnPb2Au (PBE-GGA)

Data for crystalline ZnPb2Au at its relaxed geometry.

```
data_ZnPb2Au
_space_group_name_H-M_alt 'I m m 2'
_space_group_IT_number 44
_cell_length_a 3.496
_cell_length_b 5.278
_cell_length_c 10.604
_cell_angle_alpha 90.00
_cell_angle_beta 90.00
_cell_angle_gamma 90.00
loop_
_space_group_symop_operation_xyz
'x,y,z'
'-x,-y,z'
'-x,y,z'
'x,-y,z'
'x+1/2,y+1/2,z+1/2'
'-x+1/2,-y+1/2,z+1/2'
'-x+1/2,y+1/2,z+1/2'
'x+1/2,-y+1/2,z+1/2'
loop_
_atom_site_label
_atom_site_type_symbol
_atom_site_fract_x
_atom_site_fract_y
_atom_site_fract_z
_atom_site_occupancy
Zn1 Zn 0.000 0.000 0.000 1
Pb1 Pb 0.000 0.000 0.448 1
Pb2 Pb 0.000 0.500 0.239 1
Au1 Au 0.000 0.500 0.688 1
```


[5]
## Zr2ZnPbAu (PBE-GGA)

Data for crystalline Zr2ZnPbAu at its relaxed geometry.

```
data_Zr2ZnPbAu
_space_group_name_H-M_alt 'P 4/m m m'
_space_group_IT_number 123
_space_group_name_Hall '-P 4 2'
_cell_length_a 5.525
_cell_length_b 5.525
_cell_length_c 5.521
_cell_angle_alpha 90.00
_cell_angle_beta 90.00
_cell_angle_gamma 90.00
loop_
_atom_site_label
_atom_site_type_symbol
_atom_site_fract_x
_atom_site_fract_y
_atom_site_fract_z
_atom_site_occupancy
Zr1 Zr 0.000 0.500 0.000 1
Zn1 Zn 0.000 0.000 0.500 1
Pb1 Pb 0.500 0.500 0.500 1
Au1 Au 0.500 0.500 0.000 1
```


[6]
## Zr2PbAu (PBE-GGA)

Data for crystalline Zr2PbAu at its relaxed geometry.

```
data_Zr2PbAu
_space_group_name_H-M_alt 'C m m m'
_space_group_IT_number 65
_space_group_name_Hall '-C 2 2'
_cell_length_a 6.301
_cell_length_b 8.553
_cell_length_c 3.212
_cell_angle_alpha 90.00
_cell_angle_beta 90.00
_cell_angle_gamma 90.00
loop_
_atom_site_label
_atom_site_type_symbol
_atom_site_fract_x
_atom_site_fract_y
_atom_site_fract_z
_atom_site_occupancy
Zr1 Zr 0.250 0.250 0.000 1
Pb1 Pb 0.000 0.000 0.500 1
Au1 Au 0.000 0.500 0.500 1
```


[7]
## Zr2PbAu (PBE-GGA)

Data for crystalline Zr2PbAu at its relaxed geometry.

```
data_Zr2PbAu
_space_group_name_H-M_alt 'P 4 m m'
_space_group_IT_number 99
_cell_length_a 3.362
_cell_length_b 3.362
_cell_length_c 8.320
_cell_angle_alpha 90.00
_cell_angle_beta 90.00
_cell_angle_gamma 90.00
loop_
_space_group_symop_operation_xyz
'x,y,z'
'-y,x,z'
'-x,-y,z'
'y,-x,z'
'-x,y,z'
'y,x,z'
'x,-y,z'
'-y,-x,z'
loop_
_atom_site_label
_atom_site_type_symbol
_atom_site_fract_x
_atom_site_fract_y
_atom_site_fract_z
_atom_site_occupancy
Zr1 Zr 0.000 0.000 0.000 1
Zr2 Zr 0.500 0.500 0.250 1
Pb1 Pb 0.500 0.500 0.710 1
Au1 Au 0.000 0.000 0.447 1
```


[8]
## Zr2Pb2Au (PBE-GGA)

Data for crystalline Zr2Pb2Au at its relaxed geometry.

```
data_Zr2Pb2Au
_space_group_name_H-M_alt 'P 4/m b m'
_space_group_IT_number 127
_space_group_name_Hall '-P 4 2ab'
_cell_length_a 7.505
_cell_length_b 7.505
_cell_length_c 4.205
_cell_angle_alpha 90.00
_cell_angle_beta 90.00
_cell_angle_gamma 90.00
loop_
_atom_site_label
_atom_site_type_symbol
_atom_site_fract_x
_atom_site_fract_y
_atom_site_fract_z
_atom_site_occupancy
Zr1 Zr 0.169 0.331 0.000 1
Pb1 Pb 0.139 0.639 0.500 1
Au1 Au 0.000 0.000 0.500 1
```


[9]
## Zr2PbAu (PBE-GGA)

Data for crystalline Zr2PbAu at its relaxed geometry.

```
data_Zr2PbAu
_space_group_name_H-M_alt 'R 3 m'
_space_group_IT_number 160
_space_group_name_Hall 'R 3 -2"'
_cell_length_a 3.3537
_cell_length_b 3.3537
_cell_length_c 29.6566
_cell_angle_alpha 90.00
_cell_angle_beta 90.00
_cell_angle_gamma 120.00
loop_
_atom_site_label
_atom_site_type_symbol
_atom_site_fract_x
_atom_site_fract_y
_atom_site_fract_z
_atom_site_occupancy
Zr1 Zr 0.0000 0.0000 0.0000 1
Zr2 Zr 0.0000 0.0000 0.2517 1
Pb1 Pb 0.0000 0.0000 0.7599 1
Au1 Au 0.0000 0.0000 0.5134 1
```


[10]
## Zr2PbAu (PBE-GGA)

Data for crystalline Zr2PbAu at its relaxed geometry.

```
data_Zr2PbAu
_space_group_name_H-M_alt 'P 4 m m'
_space_group_IT_number 99
_cell_length_a 3.804
_cell_length_b 3.804
_cell_length_c 6.252
_cell_angle_alpha 90.00
_cell_angle_beta 90.00
_cell_angle_gamma 90.00
loop_
_space_group_symop_operation_xyz
'x,y,z'
'-y,x,z'
'-x,-y,z'
'y,-x,z'
'-x,y,z'
'y,x,z'
'x,-y,z'
'-y,-x,z'
loop_
_atom_site_label
_atom_site_type_symbol
_atom_site_fract_x
_atom_site_fract_y
_atom_site_fract_z
_atom_site_occupancy
Zr1 Zr 0.000 0.000 0.000 1
Zr2 Zr 0.500 0.500 0.270 1
Pb1 Pb 0.500 0.500 0.760 1
Au1 Au 0.000 0.000 0.482 1
```


[11]
## Zr2PbAu (PBE-GGA)

Data for crystalline Zr2PbAu at its relaxed geometry.

```
data_Zr2PbAu
_space_group_name_H-M_alt 'C 1 2/m 1'
_space_group_IT_number 12
_cell_length_a 10.302
_cell_length_b 3.278
_cell_length_c 5.513
_cell_angle_alpha 90.00
_cell_angle_beta 104.87
_cell_angle_gamma 90.00
loop_
_space_group_symop_operation_xyz
'x,y,z'
'-x,-y,-z'
'-x,y,-z'
'x,-y,z'
'x+1/2,y+1/2,z'
'-x+1/2,-y+1/2,-z'
'-x+1/2,y+1/2,-z'
'x+1/2,-y+1/2,z'
loop_
_atom_site_label
_atom_site_type_symbol
_atom_site_fract_x
_atom_site_fract_y
_atom_site_fract_z
_atom_site_occupancy
Zr1 Zr 0.244 0.000 0.233 1
Pb1 Pb 0.000 0.000 0.500 1
Au1 Au 0.000 0.500 0.000 1
```


[12]
## Zr2PbAu (PBE-GGA)

Data for crystalline Zr2PbAu at its relaxed geometry.

```
data_Zr2PbAu
_space_group_name_H-M_alt 'P m m m'
_space_group_IT_number 47
_cell_length_a 3.239
_cell_length_b 4.218
_cell_length_c 6.373
_cell_angle_alpha 90.00
_cell_angle_beta 90.00
_cell_angle_gamma 90.00
loop_
_space_group_symop_operation_xyz
'x,y,z'
'-x,-y,-z'
'-x,-y,z'
'x,y,-z'
'x,-y,-z'
'-x,y,z'
'-x,y,-z'
'x,-y,z'
loop_
_atom_site_label
_atom_site_type_symbol
_atom_site_fract_x
_atom_site_fract_y
_atom_site_fract_z
_atom_site_occupancy
Zr1 Zr 0.000 0.000 0.235 1
Pb1 Pb 0.500 0.500 0.500 1
Au1 Au 0.500 0.500 0.000 1
```


Number 1: energy of formation -0.45 eV/f.u., volume 21.7 Å³/atom, calculated total energy -2.996 eV/atom. Number 2: energy of formation 0.24 eV/f.u., volume 26.1 Å³/atom, calculated total energy -3.002 eV/atom. Number 3: energy of formation 0.05 eV/f.u., volume 25.8 Å³/atom, calculated total energy -2.978 eV/atom. Number 4: energy of formation 0.13 eV/f.u., volume 24.5 Å³/atom, calculated total energy -2.961 eV/atom. Number 5: energy of formation 4.34 eV/f.u., volume 33.7 Å³/atom, calculated total energy -4.203 eV/atom. Number 6: energy of formation -1.20 eV/f.u., volume 21.6 Å³/atom, calculated total energy -6.320 eV/atom. Number 7: energy of formation -0.76 eV/f.u., volume 23.5 Å³/atom, calculated total energy -6.209 eV/atom. Number 8: energy of formation 0.17 eV/f.u., volume 23.7 Å³/atom, calculated total energy -5.524 eV/atom. Number 9: energy of formation -0.42 eV/f.u., volume 24.1 Å³/atom, calculated total energy -6.126 eV/atom. Number 10: energy of formation -0.85 eV/f.u., volume 22.6 Å³/atom, calculated total energy -6.232 eV/atom. Number 11: energy of formation -0.69 eV/f.u., volume 22.5 Å³/atom, calculated total energy -6.194 eV/atom. Number 12: energy of formation -1.17 eV/f.u., volume 21.8 Å³/atom, calculated total energy -6.314 eV/atom.